A relaxed InB2Se crystal. Source: the Alexandria database, functional PBE-GGA.

Unit cell a=6.253 b=6.253 c=6.253 alpha=90.00 beta=90.00 gamma=90.00
Fractional coordinates of all 16 atoms:
In1 0.000 0.000 0.000
In2 0.000 0.500 0.500
In3 0.500 0.000 0.500
In4 0.500 0.500 0.000
B1 0.250 0.250 0.250
B2 0.250 0.250 0.750
B3 0.250 0.750 0.250
B4 0.250 0.750 0.750
B5 0.750 0.250 0.250
B6 0.750 0.250 0.750
B7 0.750 0.750 0.250
B8 0.750 0.750 0.750
Se1 0.000 0.000 0.500
Se2 0.000 0.500 0.000
Se3 0.500 0.000 0.000
Se4 0.500 0.500 0.500

Output
The space group is No. 225. The crystal system is cubic. For the calculated total energy, the calculation gives -51.97 eV for the cell shown. The calculation puts the energy above the most stable polymorph in this dataset at 0.9264 eV/atom. The uncorrected formation energy comes out at 1.646 eV/atom.